[1]
Below is a relaxed structure of TiGaPO2, with properties calculated at the PBE level.

a = 3.6879 Å, b = 3.6879 Å, c = 5.1254 Å
α = 90.00°, β = 90.00°, γ = 90.00°
Closest atoms and distances in Å follow each position.
Space group P4/mmm (No. 123)
Asymmetric unit:
Ti 0.0000 0.0000 0.0000 [1 per cell]  4 P 2.61
Ga 0.5000 0.5000 0.5000 [1 per cell]  4 O 1.84
P 0.5000 0.5000 0.0000 [1 per cell]  2 Ga 2.56, 4 Ti 2.61
O 0.0000 0.5000 0.5000 [2 per cell]  2 Ga 1.84

Output
Volume in Å³/cell: 69.7
Raw formation energy in eV per atom: -0.6350



[2]
Below is a relaxed structure of TiGaP2O, with properties calculated at the PBE level.

a = 4.9364 Å, b = 4.9364 Å, c = 3.6763 Å
α = 90.00°, β = 90.00°, γ = 90.00°
Closest atoms and distances in Å follow each position.
Space group P4/mmm (No. 123)
Asymmetric unit:
Ti 0.0000 0.0000 0.0000 [1 per cell]  2 O 1.84
Ga 0.5000 0.5000 0.5000 [1 per cell]  8 P 3.08
P 0.0000 0.5000 0.0000 [2 per cell]  2 Ti 2.47
O 0.0000 0.0000 0.5000 [1 per cell]  2 Ti 1.84

Output
Volume in Å³/cell: 89.6
Raw formation energy in eV per atom: -0.4881



[3]
Below is a relaxed structure of TiGaPO2, with properties calculated at the PBE level.

a = 3.6784 Å, b = 3.6784 Å, c = 7.9711 Å
α = 90.00°, β = 90.00°, γ = 90.00°
Closest atoms and distances in Å follow each position.
Space group P4/mmm (No. 123)
Asymmetric unit:
Ti 0.0000 0.0000 0.0000 [1 per cell]  4 O 1.84
Ga 0.0000 0.0000 0.5000 [1 per cell]  4 P 2.60
P 0.5000 0.5000 0.5000 [1 per cell]  4 Ga 2.60
O 0.0000 0.5000 0.0000 [2 per cell]  2 Ti 1.84

Output
Volume in Å³/cell: 107.9
Raw formation energy in eV per atom: -1.0686



[4]
Below is a relaxed structure of TiGaP2O, with properties calculated at the PBE level.

a = 4.7924 Å, b = 4.7924 Å, c = 3.5936 Å
α = 90.00°, β = 90.00°, γ = 90.00°
Closest atoms and distances in Å follow each position.
Space group P4/mmm (No. 123)
Asymmetric unit:
Ti 0.0000 0.0000 0.0000 [1 per cell]  8 P 3.00
Ga 0.5000 0.5000 0.5000 [1 per cell]  2 O 1.80
P 0.0000 0.5000 0.5000 [2 per cell]  2 Ga 2.40
O 0.5000 0.5000 0.0000 [1 per cell]  2 Ga 1.80

Output
Volume in Å³/cell: 82.5
Raw formation energy in eV per atom: 0.1320



[5]
Below is a relaxed structure of TlGaPO2, with properties calculated at the PBE level.

a = 4.1189 Å, b = 4.1189 Å, c = 5.5389 Å
α = 90.00°, β = 90.00°, γ = 90.00°
Closest atoms and distances in Å follow each position.
Space group P4/mmm (No. 123)
Asymmetric unit:
Tl 0.0000 0.0000 0.0000 [1 per cell]  4 O 2.06
Ga 0.5000 0.5000 0.5000 [1 per cell]  4 P 2.91
P 0.0000 0.0000 0.5000 [1 per cell]  2 Tl 2.77, 4 Ga 2.91
O 0.0000 0.5000 0.0000 [2 per cell]  2 Tl 2.06

Output
Volume in Å³/cell: 94.0
Raw formation energy in eV per atom: 0.4282



[6]
Below is a relaxed structure of TlGaPO2, with properties calculated at the PBE level.

a = 3.8528 Å, b = 3.8528 Å, c = 5.3569 Å
α = 90.00°, β = 90.00°, γ = 90.00°
Closest atoms and distances in Å follow each position.
Space group P4/mmm (No. 123)
Asymmetric unit:
Tl 0.0000 0.0000 0.0000 [1 per cell]  4 P 2.72
Ga 0.5000 0.5000 0.5000 [1 per cell]  4 O 1.93
P 0.5000 0.5000 0.0000 [1 per cell]  2 Ga 2.68, 4 Tl 2.72
O 0.0000 0.5000 0.5000 [2 per cell]  2 Ga 1.93

Output
Volume in Å³/cell: 79.5
Raw formation energy in eV per atom: -0.3018